Record 1
Density functional theory data (PBE-GGA) for an optimized crystal structure of Hf2ZrNiAs4Pd3.

Cell: 6.590 3.898 7.661 Å, 90.00 90.10 90.00°
Positions (direct):
As 0.245 0.000 0.117
As 0.749 0.000 0.362
As 0.252 0.500 0.631
As 0.770 0.500 0.889
Hf 0.968 0.500 0.184
Hf 0.540 0.000 0.691
Ni 0.637 0.000 0.057
Pd 0.148 0.000 0.444
Pd 0.849 0.500 0.570
Pd 0.377 0.500 0.940
Zr 0.463 0.500 0.313

Properties
* energy above the most stable polymorph in this dataset: 3 meV per atom
* calculated volume: 17.9 A^3/atom
* uncorrected energy: -6.993 eV/atom

=====

Record 2
Density functional theory data (PBE-GGA) for an optimized crystal structure of HfZr2Ni2As4Pd2.

Cell: 6.581 3.891 7.467 Å, 90.00 90.83 90.00°
Positions (direct):
As 0.748 0.000 0.094
As 0.247 0.000 0.362
As 0.754 0.500 0.646
As 0.244 0.500 0.893
Hf 0.023 0.500 0.180
Ni 0.374 0.000 0.058
Ni 0.621 0.500 0.947
Pd 0.846 0.000 0.441
Pd 0.142 0.500 0.568
Zr 0.535 0.500 0.312
Zr 0.467 0.000 0.695

Properties
* energy above the most stable polymorph in this dataset: 5 meV per atom
* calculated volume: 17.4 A^3/atom
* uncorrected energy: -6.917 eV/atom

=====

Record 3
Density functional theory data (PBE-GGA) for an optimized crystal structure of HfZr2Ni2As4Pd2.

Cell: 6.580 3.871 7.540 Å, 90.00 90.63 90.00°
Positions (direct):
As 0.244 0.000 0.109
As 0.761 0.000 0.377
As 0.244 0.500 0.632
As 0.767 0.500 0.879
Hf 0.527 0.000 0.691
Ni 0.158 0.000 0.443
Ni 0.373 0.500 0.937
Pd 0.630 0.000 0.059
Pd 0.862 0.500 0.567
Zr 0.973 0.500 0.184
Zr 0.461 0.500 0.318

Properties
* energy above the most stable polymorph in this dataset: 32 meV per atom
* calculated volume: 17.5 A^3/atom
* uncorrected energy: -6.890 eV/atom